TlPtAuO3 | PBE | relaxed

Cell: 13.409 3.244 8.823 Å, 90.00 90.00 90.00°
Fractional coordinates of all 24 atoms:
Tl  0.238  0.250  0.122
Tl  0.262  0.750  0.622
Tl  0.738  0.250  0.378
Tl  0.762  0.750  0.878
Pt  0.020  0.250  0.851
Pt  0.480  0.750  0.351
Pt  0.520  0.250  0.649
Pt  0.980  0.750  0.149
Au  0.086  0.250  0.471
Au  0.414  0.750  0.971
Au  0.586  0.250  0.029
Au  0.914  0.750  0.529
O  0.052  0.250  0.243
O  0.080  0.750  0.966
O  0.128  0.250  0.696
O  0.372  0.750  0.196
O  0.420  0.250  0.466
O  0.448  0.750  0.743
O  0.552  0.250  0.257
O  0.580  0.750  0.534
O  0.628  0.250  0.804
O  0.872  0.750  0.304
O  0.920  0.250  0.034
O  0.948  0.750  0.757

Results
Crystal system: orthorhombic
Uncorrected energy, eV per atom: -4.814
Symmetry: Pnma

***

UCuRe | PBE | relaxed

Cell: 6.065 6.065 6.065 Å, 90.00 90.00 90.00°
Fractional coordinates of all 12 atoms:
U  0.000  0.000  0.000
U  0.000  0.500  0.500
U  0.500  0.000  0.500
U  0.500  0.500  0.000
Cu  0.250  0.250  0.750
Cu  0.250  0.750  0.250
Cu  0.750  0.250  0.250
Cu  0.750  0.750  0.750
Re  0.000  0.000  0.500
Re  0.000  0.500  0.000
Re  0.500  0.000  0.000
Re  0.500  0.500  0.500

Results
Crystal system: cubic
Uncorrected energy, eV per atom: -8.447
Symmetry: F-43m
E above lowest polymorph, eV/atom: 0.000

***

DyEr2In3Pd3 | PBE | relaxed

Cell: 3.807 7.697 7.697 Å, 120.07 90.00 90.00°
Fractional coordinates of all 9 atoms:
Dy  0.000  0.000  0.000
Er  0.000  0.185  0.593
Er  0.000  0.593  0.185
In  0.500  0.332  0.332
In  0.500  0.592  0.853
In  0.500  0.853  0.592
Pd  0.000  0.592  0.592
Pd  0.500  0.260  0.926
Pd  0.500  0.926  0.260

Results
Crystal system: orthorhombic
Uncorrected energy, eV per atom: -4.983
Symmetry: Amm2

***

HgBNO | PBE | relaxed

Cell: 2.717 5.859 5.970 Å, 90.00 90.00 90.00°
Fractional coordinates of all 8 atoms:
Hg  0.000  0.137  0.000
Hg  0.000  0.863  0.500
B  0.500  0.339  0.530
B  0.500  0.661  0.030
N  0.000  0.224  0.526
N  0.000  0.776  0.026
O  0.500  0.433  0.065
O  0.500  0.567  0.565

Results
Crystal system: orthorhombic
Uncorrected energy, eV per atom: -5.581
Symmetry: Pmc2_1
E above lowest polymorph, eV/atom: 0.050

***

> Which of these has the lowest uncorrected energy?

UCuRe